w:
## SrZnAg2Sn (PBE)

Data for SrZnAg2Sn after structural relaxation.

Unit cell a=5.304 b=5.304 c=5.153 alpha=90.00 beta=90.00 gamma=90.00
Positions (direct):
Sr 0.000 0.000 0.000
Zn 0.500 0.500 0.000
Ag 0.000 0.500 0.500
Ag 0.500 0.000 0.500
Sn 0.500 0.500 0.500

Output
The value obtained for the total magnetization is 0.0 μB/f.u.

***

x:
## SrZnAg2Sn (PBE)

Data for SrZnAg2Sn after structural relaxation.

Unit cell a=6.661 b=6.661 c=6.661 alpha=140.59 beta=139.74 gamma=57.61
Positions (direct):
Sr 0.000 0.000 0.000
Zn 0.387 0.387 0.000
Ag 0.608 0.608 0.000
Ag 0.765 0.265 0.500
Sn 0.250 0.750 0.500

Output
The value obtained for the total magnetization is 0.0 μB/f.u.

***

Energy comparison, zero being the most stable, in meV per atom: w 356; x 0.